Computed, not measured: PuGeS3 after structural relaxation at the GGA-PBE level of DFT.

## Properties
The uncorrected formation energy is -0.92 eV per atom. Its space group is P2_1/m, No. 11. Its total energy is -7.18 eV per atom.

Cell lengths 3.927, 6.886, 14.027 Å; angles 131.45, 90.00, 90.00 degrees
Each line ends with the local moment (μB).
Atoms (fractional coordinates):
S 0.250 0.739 0.851  -0.08
S 0.750 0.156 0.631  -0.21
S 0.250 0.337 0.377  -0.15
S 0.250 0.844 0.369  -0.21
S 0.750 0.663 0.623  -0.15
S 0.750 0.261 0.149  -0.08
Ge 0.750 0.964 0.855  -0.03
Ge 0.250 0.036 0.145  -0.03
Pu 0.250 0.346 0.587  4.56
Pu 0.750 0.654 0.413  4.56

Computed, not measured: Pu2Ge2S5 after structural relaxation at the GGA-PBE level of DFT.

## Properties
The uncorrected formation energy is -0.98 eV per atom. Its space group is C2/m, No. 12. Its total energy is -7.49 eV per atom.

Cell lengths 3.826, 10.602, 13.657 Å; angles 149.11, 90.00, 100.40 degrees
Each line ends with the local moment (μB).
Atoms (fractional coordinates):
S 0.361 0.722 0.061  -0.04
S 0.161 0.322 0.475  -0.11
S 0.839 0.678 0.525  -0.11
S 0.000 0.000 0.000  -0.14
S 0.639 0.278 0.939  -0.04
Ge 0.944 0.888 0.268  0.00
Ge 0.056 0.112 0.732  0.00
Pu 0.419 0.838 0.761  5.04
Pu 0.581 0.162 0.239  5.04

Computed, not measured: Sr2PuGeS5 after structural relaxation at the GGA-PBE level of DFT.

## Properties
The uncorrected formation energy is -1.47 eV per atom. Its space group is Cmc2_1, No. 36. Its total energy is -6.24 eV per atom.

Cell lengths 4.196, 9.123, 12.127 Å; angles 90.00, 90.00, 103.30 degrees
Each line ends with the local moment (μB).
Atoms (fractional coordinates):
Pu 0.796 0.592 0.526  5.12
Pu 0.204 0.408 0.026  5.12
Sr 0.883 0.765 0.183  0.00
Sr 0.117 0.235 0.683  0.00
Sr 0.123 0.246 0.329  0.01
Sr 0.877 0.754 0.829  0.01
S 0.039 0.078 0.023  -0.02
S 0.678 0.357 0.870  -0.05
S 0.322 0.643 0.370  -0.05
S 0.961 0.922 0.523  -0.02
S 0.296 0.591 0.675  -0.07
S 0.502 0.004 0.271  0.00
S 0.356 0.712 0.008  -0.03
S 0.704 0.409 0.175  -0.07
S 0.498 0.996 0.771  0.00
S 0.644 0.288 0.508  -0.03
Ge 0.553 0.105 0.939  0.01
Ge 0.447 0.895 0.439  0.01

Computed, not measured: PuThGeS after structural relaxation at the GGA-PBE level of DFT.

## Properties
The uncorrected formation energy is -1.18 eV per atom. Its space group is R3m, No. 160. Its total energy is -8.80 eV per atom.

Cell lengths 4.189, 4.189, 6.988 Å; angles 72.56, 72.56, 60.00 degrees
Each line ends with the local moment (μB).
Atoms (fractional coordinates):
S 0.941 0.941 0.178  -0.07
Pu 0.198 0.198 0.407  5.19
Th 0.691 0.691 0.926  0.03
Ge 0.447 0.447 0.660  -0.07

Computed, not measured: PuTlGeS3 after structural relaxation at the GGA-PBE level of DFT.

## Properties
The uncorrected formation energy is -0.87 eV per atom. Its space group is P2_1/m, No. 11. Its total energy is -6.49 eV per atom.

Cell lengths 3.923, 9.362, 9.165 Å; angles 102.72, 90.00, 90.00 degrees
Each line ends with the local moment (μB).
Atoms (fractional coordinates):
S 0.250 0.147 0.809  -0.07
S 0.250 0.568 0.860  -0.11
S 0.250 0.712 0.474  -0.04
S 0.750 0.853 0.191  -0.07
S 0.750 0.288 0.526  -0.04
S 0.750 0.432 0.140  -0.11
Ge 0.250 0.126 0.546  0.01
Ge 0.750 0.874 0.454  0.01
Tl 0.250 0.196 0.190  0.01
Tl 0.750 0.804 0.810  0.01
Pu 0.750 0.360 0.833  5.03
Pu 0.250 0.640 0.167  5.03

Computed, not measured: Pu2GeSb after structural relaxation at the GGA-PBE level of DFT.

## Properties
The uncorrected formation energy is -0.34 eV per atom. Its space group is R-3m, No. 166. Its total energy is -9.69 eV per atom. The energy above the most stable polymorph in this dataset comes out at 0.175 eV per atom.

Cell lengths 4.289, 4.289, 7.446 Å; angles 73.26, 73.26, 60.00 degrees
Each line ends with the local moment (μB).
Atoms (fractional coordinates):
Ge 0.000 0.000 0.000  -0.15
Pu 0.744 0.744 0.769  4.95
Pu 0.256 0.256 0.231  4.95
Sb 0.500 0.500 0.500  -0.12

Computed, not measured: Pu6Ge5Sb after structural relaxation at the GGA-PBE level of DFT.

## Properties
The uncorrected formation energy is -0.39 eV per atom. Its space group is P2/m, No. 10. Its total energy is -9.82 eV per atom.

Cell lengths 4.695, 8.238, 7.450 Å; angles 90.00, 108.99, 90.00 degrees
Each line ends with the local moment (μB).
Atoms (fractional coordinates):
Pu 0.500 0.742 0.000  -5.19
Pu 0.832 0.257 0.657  5.28
Pu 0.500 0.258 0.000  -5.19
Pu 0.832 0.743 0.657  5.28
Pu 0.168 0.257 0.343  5.28
Pu 0.168 0.743 0.343  5.28
Ge 0.670 0.000 0.345  -0.03
Ge 0.330 0.000 0.655  -0.03
Ge 0.662 0.500 0.332  -0.04
Ge 0.338 0.500 0.668  -0.04
Ge 0.000 0.500 0.000  -0.03
Sb 0.000 0.000 0.000  -0.01

Computed, not measured: Pu4GeSb after structural relaxation at the GGA-PBE level of DFT.

## Properties
The uncorrected formation energy is -0.15 eV per atom. Its space group is C2/m, No. 12. Its total energy is -11.16 eV per atom. The energy above the most stable polymorph in this dataset comes out at 0.193 eV per atom.

Cell lengths 5.051, 6.037, 6.037 Å; angles 93.46, 65.33, 65.33 degrees
Each line ends with the local moment (μB).
Atoms (fractional coordinates):
Pu 0.253 0.413 0.081  5.81
Pu 0.747 0.919 0.587  5.81
Pu 0.253 0.081 0.413  5.81
Pu 0.747 0.587 0.919  5.81
Sb 0.500 0.500 0.500  -0.09
Ge 0.000 0.000 0.000  -0.11

Computed, not measured: Pu2GeSb after structural relaxation at the GGA-PBE level of DFT.

## Properties
The uncorrected formation energy is -0.39 eV per atom. Its space group is Fm-3m, No. 225. Its total energy is -9.75 eV per atom. The energy above the most stable polymorph in this dataset comes out at 0.123 eV per atom.

Cell lengths 5.189, 5.189, 5.189 Å; angles 60.00, 60.00, 60.00 degrees
Each line ends with the local moment (μB).
Atoms (fractional coordinates):
Pu 0.750 0.750 0.750  5.39
Pu 0.250 0.250 0.250  5.39
Ge 0.500 0.500 0.500  -0.03
Sb 0.000 0.000 0.000  -0.04

Computed, not measured: Pu6Ge2Sb after structural relaxation at the GGA-PBE level of DFT.

## Properties
The uncorrected formation energy is -0.12 eV per atom. Its space group is P6/mmm, No. 191. Its total energy is -11.16 eV per atom.

Cell lengths 3.282, 8.705, 8.705 Å; angles 120.00, 90.00, 90.00 degrees
Each line ends with the local moment (μB).
Atoms (fractional coordinates):
Pu 0.500 0.000 0.663  5.80
Pu 0.500 0.337 0.000  5.80
Pu 0.500 0.337 0.337  5.80
Pu 0.500 0.000 0.337  5.80
Pu 0.500 0.663 0.663  5.80
Pu 0.500 0.663 0.000  5.80
Ge 0.000 0.667 0.333  -0.11
Ge 0.000 0.333 0.667  -0.11
Sb 0.000 0.000 0.000  -0.09

Computed, not measured: Pu3GeSb after structural relaxation at the GGA-PBE level of DFT.

## Properties
The uncorrected formation energy is -0.26 eV per atom. Its space group is Pnnm, No. 58. Its total energy is -10.61 eV per atom. The energy above the most stable polymorph in this dataset comes out at 0.000 eV per atom.

Cell lengths 7.908, 8.678, 7.470 Å; angles 90.00, 90.00, 90.00 degrees
Each line ends with the local moment (μB).
Atoms (fractional coordinates):
Pu 0.500 0.500 0.719  5.28
Pu 0.105 0.361 0.256  -5.31
Pu 0.605 0.139 0.244  -5.31
Pu 0.500 0.500 0.281  5.28
Pu 0.395 0.861 0.244  -5.31
Pu 0.000 0.000 0.781  5.28
Pu 0.000 0.000 0.219  5.28
Pu 0.395 0.861 0.756  -5.31
Pu 0.895 0.639 0.256  -5.31
Pu 0.895 0.639 0.744  -5.31
Pu 0.105 0.361 0.744  -5.31
Pu 0.605 0.139 0.756  -5.31
Ge 0.294 0.141 0.000  0.04
Ge 0.206 0.641 0.500  0.04
Ge 0.794 0.359 0.500  0.04
Ge 0.706 0.859 0.000  0.04
Sb 0.789 0.365 0.000  0.05
Sb 0.289 0.135 0.500  0.05
Sb 0.711 0.865 0.500  0.05
Sb 0.211 0.635 0.000  0.05

Computed, not measured: Pu4GeSb2 after structural relaxation at the GGA-PBE level of DFT.

## Properties
The uncorrected formation energy is -0.56 eV per atom. Its space group is I-42d, No. 122. Its total energy is -10.58 eV per atom.

Cell lengths 7.893, 7.893, 7.893 Å; angles 109.34, 109.74, 109.34 degrees
Each line ends with the local moment (μB).
Atoms (fractional coordinates):
Sb 0.875 0.134 0.509  -0.14
Sb 0.259 0.634 0.125  -0.14
Sb 0.491 0.366 0.625  -0.14
Sb 0.375 0.866 0.741  -0.14
Pu 0.106 0.893 0.360  5.34
Pu 0.467 0.107 0.213  5.34
Pu 0.110 0.393 0.356  5.34
Pu 0.787 0.255 0.894  5.34
Pu 0.640 0.745 0.533  5.34
Pu 0.644 0.755 0.037  5.34
Pu 0.963 0.607 0.717  5.34
Pu 0.283 0.245 0.890  5.34
Ge 0.000 0.000 0.000  -0.19
Ge 0.750 0.500 0.250  -0.19

Computed, not measured: Pu2GeSb after structural relaxation at the GGA-PBE level of DFT.

## Properties
The uncorrected formation energy is -0.49 eV per atom. Its space group is P4/mmm, No. 123. Its total energy is -9.84 eV per atom. The energy above the most stable polymorph in this dataset comes out at 0.031 eV per atom.

Cell lengths 4.297, 4.736, 4.736 Å; angles 90.00, 90.00, 90.00 degrees
Each line ends with the local moment (μB).
Atoms (fractional coordinates):
Ge 0.500 0.000 0.000  -0.08
Sb 0.500 0.500 0.500  -0.07
Pu 0.000 0.500 0.000  5.49
Pu 0.000 0.000 0.500  5.49

Computed, not measured: Pu12Ge6Sb after structural relaxation at the GGA-PBE level of DFT.

## Properties
The uncorrected formation energy is -0.25 eV per atom. Its space group is Im-3, No. 204. Its total energy is -10.98 eV per atom.

Cell lengths 8.517, 8.517, 8.517 Å; angles 109.47, 109.47, 109.47 degrees
Each line ends with the local moment (μB).
Atoms (fractional coordinates):
Pu 0.919 0.194 0.726  5.47
Pu 0.726 0.919 0.194  5.47
Pu 0.194 0.274 0.468  5.47
Pu 0.806 0.274 0.081  5.47
Pu 0.806 0.726 0.532  5.47
Pu 0.274 0.468 0.194  5.47
Pu 0.532 0.806 0.726  5.47
Pu 0.468 0.194 0.274  5.47
Pu 0.081 0.806 0.274  5.47
Pu 0.194 0.726 0.919  5.47
Pu 0.726 0.532 0.806  5.47
Pu 0.274 0.081 0.806  5.47
Ge 0.624 0.500 0.124  -0.11
Ge 0.500 0.124 0.624  -0.11
Ge 0.124 0.624 0.500  -0.11
Ge 0.376 0.500 0.876  -0.11
Ge 0.876 0.376 0.500  -0.11
Ge 0.500 0.876 0.376  -0.11
Sb 0.000 0.000 0.000  -0.16

Computed, not measured: Pu2GeSb after structural relaxation at the GGA-PBE level of DFT.

## Properties
The uncorrected formation energy is -0.19 eV per atom. Its space group is Cmcm, No. 63. Its total energy is -9.55 eV per atom. The energy above the most stable polymorph in this dataset comes out at 0.323 eV per atom.

Cell lengths 10.097, 10.097, 4.338 Å; angles 90.00, 90.00, 154.80 degrees
Each line ends with the local moment (μB).
Atoms (fractional coordinates):
Ge 0.565 0.435 0.250  0.01
Ge 0.435 0.565 0.750  0.01
Sb 0.665 0.335 0.750  -0.05
Sb 0.335 0.665 0.250  -0.05
Pu 0.026 0.974 0.750  -0.01
Pu 0.175 0.825 0.250  5.35
Pu 0.974 0.026 0.250  -0.01
Pu 0.825 0.175 0.750  5.35

Computed, not measured: Pu6GeSb5 after structural relaxation at the GGA-PBE level of DFT.

## Properties
The uncorrected formation energy is -0.58 eV per atom. Its space group is C2/m, No. 12. Its total energy is -9.84 eV per atom.

Cell lengths 5.681, 6.362, 9.524 Å; angles 70.54, 72.67, 90.02 degrees
Each line ends with the local moment (μB).
Atoms (fractional coordinates):
Pu 0.163 0.409 0.673  5.45
Pu 0.163 0.918 0.673  5.45
Pu 0.837 0.082 0.327  5.45
Pu 0.837 0.591 0.327  5.45
Pu 0.500 0.242 0.000  5.46
Pu 0.500 0.758 0.000  5.46
Sb 0.669 0.169 0.662  -0.13
Sb 0.333 0.333 0.334  -0.13
Sb 0.000 0.500 0.000  -0.11
Sb 0.667 0.667 0.666  -0.13
Sb 0.331 0.831 0.338  -0.13
Ge 0.000 0.000 0.000  -0.13

Computed, not measured: Pu4GeSb after structural relaxation at the GGA-PBE level of DFT.

## Properties
The uncorrected formation energy is -0.34 eV per atom. Its space group is Cmmm, No. 65. Its total energy is -11.35 eV per atom. The energy above the most stable polymorph in this dataset comes out at 0.000 eV per atom.

Cell lengths 5.629, 5.455, 5.455 Å; angles 62.51, 90.01, 90.01 degrees
Each line ends with the local moment (μB).
Atoms (fractional coordinates):
Pu 0.501 0.840 0.341  5.61
Pu 0.501 0.154 0.655  5.61
Pu 0.001 0.334 0.835  5.58
Pu 0.001 0.661 0.161  5.58
Ge 0.001 0.997 0.498  -0.17
Sb 0.501 0.497 0.998  -0.12

Computed, not measured: Pu8GeSb3 after structural relaxation at the GGA-PBE level of DFT.

## Properties
The uncorrected formation energy is -0.17 eV per atom. Its space group is Cm, No. 8. Its total energy is -11.14 eV per atom.

Cell lengths 8.390, 6.799, 8.735 Å; angles 62.35, 73.20, 115.55 degrees
Each line ends with the local moment (μB).
Atoms (fractional coordinates):
Sb 0.817 0.581 0.647  -0.04
Sb 0.387 0.000 0.488  -0.07
Sb 0.236 0.419 0.227  -0.04
Pu 0.525 0.633 0.381  5.52
Pu 0.453 0.604 0.788  4.76
Pu 0.332 0.000 0.152  5.00
Pu 0.986 0.000 0.722  -5.20
Pu 0.666 0.000 0.776  -2.97
Pu 0.892 0.367 0.014  5.52
Pu 0.849 0.396 0.392  4.76
Pu 0.348 0.000 0.855  -4.43
Ge 0.010 0.000 0.057  -0.05

Computed, not measured: PuGeSb2 after structural relaxation at the GGA-PBE level of DFT.

## Properties
The uncorrected formation energy is 0.06 eV per atom. Its space group is R-3m, No. 166. Its total energy is -6.74 eV per atom. The energy above the most stable polymorph in this dataset comes out at 0.387 eV per atom.

Cell lengths 3.268, 3.268, 11.495 Å; angles 81.83, 81.83, 60.00 degrees
Each line ends with the local moment (μB).
Atoms (fractional coordinates):
Sb 0.087 0.087 0.738  -0.03
Sb 0.913 0.913 0.262  -0.03
Pu 0.500 0.500 0.500  5.38
Ge 0.000 0.000 0.000  -0.01

Computed, not measured: Pu3GeSb after structural relaxation at the GGA-PBE level of DFT.

## Properties
The uncorrected formation energy is -0.22 eV per atom. Its space group is R-3m, No. 166. Its total energy is -10.56 eV per atom. The energy above the most stable polymorph in this dataset comes out at 0.042 eV per atom.

Cell lengths 6.158, 6.158, 8.486 Å; angles 68.73, 68.73, 60.00 degrees
Each line ends with the local moment (μB).
Atoms (fractional coordinates):
Pu 0.242 0.242 0.773  5.45
Pu 0.758 0.258 0.227  5.45
Pu 0.742 0.242 0.773  5.45
Pu 0.758 0.758 0.227  5.45
Pu 0.258 0.758 0.227  5.45
Pu 0.242 0.742 0.773  5.45
Ge 0.695 0.695 0.916  -0.13
Ge 0.305 0.305 0.084  -0.13
Sb 0.808 0.808 0.575  -0.10
Sb 0.192 0.192 0.425  -0.10